No. 1
{
  "formula": "NbFe2Rh",
  "functional": "GGA-PBE",
  "state": "relaxed",
  "ef_ev_per_fu": 1.4,
  "dos_ef_per_ev_fu": 3.58,
  "lattice_angstrom": [[3.620, 0.000, 0.000], [0.000, 3.620, 0.000], [1.810, 1.810, 9.270]],
  "species": ["Fe", "Nb", "Nb", "Rh", "Fe", "Fe", "Rh", "Fe"],
  "frac_coords": [[0.630, 0.125, 0.250], [0.250, 0.750, 0.500], [0.500, 0.500, 0.000], [0.750, 0.250, 0.500], [0.375, 0.370, 0.750], [0.875, 0.880, 0.750], [0.000, 0.000, 0.000], [0.120, 0.625, 0.250]]
}

No. 2
{
  "formula": "As2OsWBr",
  "functional": "GGA-PBE",
  "state": "relaxed",
  "e_form_raw_ev_per_atom": 1.612,
  "relative_energy_ev_per_atom": 0.0674,
  "dos_ef_per_ev_fu": 4.17,
  "lattice_angstrom": [[4.882, 0.000, 0.000], [0.000, 4.882, 0.000], [0.000, 0.000, 5.005]],
  "species": ["As", "Os", "As", "W", "Br"],
  "frac_coords": [[0.500, 0.000, 0.000], [0.500, 0.500, 0.500], [0.000, 0.500, 0.000], [0.000, 0.000, 0.000], [0.000, 0.000, 0.500]]
}

No. 3
{
  "formula": "Tb7Pr3Er2",
  "functional": "GGA-PBE",
  "state": "relaxed",
  "relative_energy_ev_per_atom": 0.1943,
  "ef_ev_per_fu": 3.4,
  "dos_ef_per_ev_fu": 19.37,
  "lattice_angstrom": [[-5.104, 4.065, 0.203], [-3.928, 0.050, 5.214], [3.524, 9.334, 6.652]],
  "species": ["Er", "Tb", "Pr", "Tb", "Pr", "Tb", "Pr", "Er", "Tb", "Tb", "Tb", "Tb"],
  "frac_coords": [[0.333, 0.333, 0.000], [0.584, 0.584, 0.750], [0.844, 0.844, 0.467], [0.082, 0.584, 0.750], [0.000, 0.000, 0.000], [0.918, 0.416, 0.250], [0.156, 0.156, 0.533], [0.667, 0.667, 0.000], [0.500, 0.500, 0.500], [0.416, 0.416, 0.250], [0.584, 0.082, 0.750], [0.416, 0.918, 0.250]]
}

No. 4
{
  "formula": "Pm5PrSm12",
  "functional": "GGA-PBE",
  "state": "relaxed",
  "ef_ev_per_fu": 1.8,
  "dos_ef_per_ev_fu": 31.54,
  "lattice_angstrom": [[-10.351, 4.436, -2.405], [-9.050, -4.632, 2.837], [0.088, 3.042, 5.242]],
  "species": ["Sm", "Sm", "Pr", "Sm", "Sm", "Sm", "Pm", "Pm", "Sm", "Sm", "Sm", "Sm", "Sm", "Pm", "Pm", "Pm", "Sm", "Sm"],
  "frac_coords": [[0.656, 0.333, 0.053], [0.989, 0.667, 0.053], [0.000, 0.000, 0.000], [0.156, 0.333, 0.448], [0.011, 0.333, 0.947], [0.490, 0.667, 0.448], [0.832, 0.335, 0.500], [0.500, 0.000, 0.500], [0.823, 0.000, 0.453], [0.344, 0.667, 0.947], [0.177, 0.000, 0.547], [0.844, 0.667, 0.552], [0.510, 0.333, 0.552], [0.668, 0.664, 0.000], [0.168, 0.665, 0.500], [0.332, 0.336, 0.000], [0.674, 0.000, 0.953], [0.326, 0.000, 0.047]]
}

No. 5
{
  "formula": "Ga3BiPd3",
  "functional": "GGA-PBE",
  "state": "relaxed",
  "ef_ev_per_fu": 0.1,
  "dos_ef_per_ev_fu": 4.03,
  "lattice_angstrom": [[6.866, 0.000, 0.000], [0.000, 6.866, 0.000], [0.000, 0.000, 6.866]],
  "species": ["Ga", "Ga", "Bi", "Pd", "Ga", "Pd", "Pd", "Ga", "Pd", "Bi", "Pd", "Pd", "Ga", "Ga"],
  "frac_coords": [[0.500, 0.250, 0.000], [0.000, 0.500, 0.250], [0.000, 0.000, 0.000], [0.750, 0.500, 0.000], [0.000, 0.500, 0.750], [0.000, 0.250, 0.500], [0.000, 0.750, 0.500], [0.250, 0.000, 0.500], [0.250, 0.500, 0.000], [0.500, 0.500, 0.500], [0.500, 0.000, 0.750], [0.500, 0.000, 0.250], [0.750, 0.000, 0.500], [0.500, 0.750, 0.000]]
}

No. 6
{
  "formula": "BaCrNi2",
  "functional": "GGA-PBE",
  "state": "relaxed",
  "relative_energy_ev_per_atom": 0.0483,
  "ef_ev_per_fu": 1.0,
  "dos_ef_per_ev_fu": 3.28,
  "lattice_angstrom": [[4.213, 0.001, 0.091], [2.102, 3.652, 0.091], [1.995, 1.154, 5.677]],
  "species": ["Ni", "Cr", "Ni", "Ba"],
  "frac_coords": [[0.687, 0.687, 0.940], [0.317, 0.317, 0.051], [0.996, 0.996, 0.012], [0.500, 0.500, 0.498]]
}

No. 7
{
  "formula": "YTe2Se",
  "functional": "GGA-PBE",
  "state": "relaxed",
  "e_form_raw_ev_per_atom": -0.389,
  "dos_ef_per_ev_fu": 5.56,
  "lattice_angstrom": [[-3.534, -3.326, -5.593], [-3.900, -6.008, -1.877], [-6.626, -2.335, -2.338]],
  "species": ["Te", "Te", "Y", "Se"],
  "frac_coords": [[0.506, 0.506, 0.506], [0.994, 0.994, 0.994], [0.250, 0.250, 0.250], [0.750, 0.750, 0.750]]
}

No. 8
{
  "formula": "Sm3Y5",
  "functional": "GGA-PBE",
  "state": "relaxed",
  "ef_ev_per_fu": 0.1,
  "dos_ef_per_ev_fu": 14.23,
  "lattice_angstrom": [[3.661, 0.000, 0.000], [0.000, 5.725, 0.000], [0.000, 0.000, 12.690]],
  "species": ["Sm", "Sm", "Y", "Y", "Sm", "Y", "Y", "Y"],
  "frac_coords": [[0.500, 0.500, 0.540], [0.500, 0.000, 0.711], [0.500, 0.500, 0.043], [0.000, 0.000, 0.456], [0.000, 0.500, 0.791], [0.000, 0.500, 0.291], [0.500, 0.000, 0.207], [0.000, 0.000, 0.960]]
}

No. 9
{
  "formula": "BaSc2TaIr",
  "functional": "GGA-PBE",
  "state": "relaxed",
  "ef_ev_per_fu": 3.7,
  "dos_ef_per_ev_fu": 4.40,
  "lattice_angstrom": [[-0.970, 4.960, 0.041], [-1.852, -0.409, 5.586], [4.700, 0.906, 1.625]],
  "species": ["Sc", "Sc", "Ba", "Ta", "Ir"],
  "frac_coords": [[0.500, 0.000, 0.000], [0.000, 0.000, 0.500], [0.000, 0.500, 0.000], [0.500, 0.500, 0.500], [0.000, 0.000, 0.000]]
}

No. 10
{
  "formula": "CaZn3Si3",
  "functional": "GGA-PBE",
  "state": "relaxed",
  "e_form_raw_ev_per_atom": 0.219,
  "dos_ef_per_ev_fu": 5.22,
  "lattice_angstrom": [[-3.881, -5.037, 2.309], [4.540, -4.507, -2.200], [3.177, 0.287, 5.966]],
  "species": ["Si", "Zn", "Ca", "Zn", "Ca", "Si", "Si", "Si", "Zn", "Si", "Zn", "Zn", "Zn", "Si"],
  "frac_coords": [[0.500, 0.750, 0.000], [0.000, 0.750, 0.500], [0.000, 0.000, 0.000], [0.000, 0.250, 0.500], [0.500, 0.500, 0.500], [0.000, 0.500, 0.250], [0.250, 0.000, 0.500], [0.000, 0.500, 0.750], [0.500, 0.000, 0.250], [0.500, 0.250, 0.000], [0.250, 0.500, 0.000], [0.500, 0.000, 0.750], [0.750, 0.500, 0.000], [0.750, 0.000, 0.500]]
}

No. 11
{
  "formula": "Nd2Y2HoSc",
  "functional": "GGA-PBE",
  "state": "relaxed",
  "ef_ev_per_fu": 0.2,
  "dos_ef_per_ev_fu": 11.35,
  "lattice_angstrom": [[5.657, 0.000, 0.000], [0.000, 6.267, 0.000], [0.000, 0.000, 10.841]],
  "species": ["Y", "Ho", "Ho", "Nd", "Nd", "Nd", "Y", "Nd", "Sc", "Sc", "Y", "Y"],
  "frac_coords": [[0.500, 0.663, 0.578], [0.500, 0.179, 0.744], [0.500, 0.679, 0.256], [0.500, 0.178, 0.083], [0.500, 0.678, 0.917], [0.000, 0.845, 0.741], [0.000, 0.844, 0.090], [0.000, 0.345, 0.259], [0.000, 0.337, 0.580], [0.000, 0.837, 0.420], [0.000, 0.344, 0.910], [0.500, 0.163, 0.422]]
}

No. 12
{
  "formula": "LiCa2Mg",
  "functional": "GGA-PBE",
  "state": "relaxed",
  "ef_ev_per_fu": 0.3,
  "dos_ef_per_ev_fu": 3.83,
  "lattice_angstrom": [[-0.538, -3.295, 1.738], [1.812, -0.751, 3.213], [-7.750, 2.949, 7.266]],
  "species": ["Mg", "Li", "Ca", "Ca"],
  "frac_coords": [[0.667, 0.667, 0.000], [0.500, 0.500, 0.499], [0.083, 0.083, 0.752], [0.251, 0.251, 0.248]]
}